w.
Computed, not measured: an optimized crystal structure of NaP2SeCl at the PBE level of DFT.

Crystal system: tetragonal
Symmetry: P4/mmm

Unit cell a=4.6767 b=4.6767 c=7.4762 alpha=90.00 beta=90.00 gamma=90.00
With the nearest neighbours (Å) after each atom.
Fractional positions:
P: 0.0000 0.5000 0.0000  2 Se 2.34
P: 0.5000 0.0000 0.0000  2 Se 2.34
Na: 0.5000 0.5000 0.5000  4 Cl 3.31
Se: 0.0000 0.0000 0.0000  4 P 2.34
Cl: 0.0000 0.0000 0.5000  4 Na 3.31

x.
Computed, not measured: an optimized crystal structure of NaP2SeCl at the PBE level of DFT.

Crystal system: tetragonal
Symmetry: P4/mmm

Unit cell a=5.1442 b=5.1442 c=4.6278 alpha=90.00 beta=90.00 gamma=90.00
With the nearest neighbours (Å) after each atom.
Fractional positions:
P: 0.0000 0.5000 0.0000  2 Na 2.57
P: 0.5000 0.0000 0.0000  2 Na 2.57
Na: 0.0000 0.0000 0.0000  2 Cl 2.31, 4 P 2.57
Se: 0.5000 0.5000 0.5000  8 P 3.46, 4 Cl 3.64
Cl: 0.0000 0.0000 0.5000  2 Na 2.31

Most stable to least stable, the ends of the list are w and x.

w.
Computed, not measured: an optimized crystal structure of NaSiPCl2 at the PBE level of DFT.

Crystal system: tetragonal
Symmetry: P4/mmm

Unit cell a=4.8790 b=4.8790 c=5.4460 alpha=90.00 beta=90.00 gamma=90.00
With the nearest neighbours (Å) after each atom.
Fractional positions:
P: 0.0000 0.0000 0.5000  2 Na 2.72
Si: 0.5000 0.5000 0.5000  4 P 3.45, 8 Cl 3.66
Na: 0.0000 0.0000 0.0000  4 Cl 2.44, 2 P 2.72
Cl: 0.0000 0.5000 0.0000  2 Na 2.44
Cl: 0.5000 0.0000 0.0000  2 Na 2.44

x.
Computed, not measured: an optimized crystal structure of NaSiPCl2 at the PBE level of DFT.

Crystal system: tetragonal
Symmetry: P4/mmm

Unit cell a=5.0876 b=5.0876 c=4.5290 alpha=90.00 beta=90.00 gamma=90.00
With the nearest neighbours (Å) after each atom.
Fractional positions:
P: 0.0000 0.0000 0.5000  2 Si 2.26
Si: 0.0000 0.0000 0.0000  2 P 2.26
Na: 0.5000 0.5000 0.5000  8 Cl 3.41, 4 P 3.60
Cl: 0.0000 0.5000 0.0000  2 Si 2.54
Cl: 0.5000 0.0000 0.0000  2 Si 2.54

Most stable to least stable, the ends of the list are x and w.

w.
Computed, not measured: an optimized crystal structure of NaSnPCl2 at the PBE level of DFT.

Crystal system: tetragonal
Symmetry: P4/mmm

Unit cell a=4.9304 b=4.9304 c=5.4961 alpha=90.00 beta=90.00 gamma=90.00
With the nearest neighbours (Å) after each atom.
Fractional positions:
P: 0.0000 0.0000 0.5000  2 Na 2.75
Na: 0.0000 0.0000 0.0000  4 Cl 2.47, 2 P 2.75
Sn: 0.5000 0.5000 0.5000  4 P 3.49, 8 Cl 3.69
Cl: 0.0000 0.5000 0.0000  2 Na 2.47
Cl: 0.5000 0.0000 0.0000  2 Na 2.47

x.
Computed, not measured: an optimized crystal structure of NaSnPCl2 at the PBE level of DFT.

Crystal system: tetragonal
Symmetry: P4/mmm

Unit cell a=5.4755 b=5.4755 c=5.1181 alpha=90.00 beta=90.00 gamma=90.00
With the nearest neighbours (Å) after each atom.
Fractional positions:
P: 0.0000 0.0000 0.5000  2 Sn 2.56
Na: 0.5000 0.5000 0.5000  8 Cl 3.75, 4 P 3.87
Sn: 0.0000 0.0000 0.0000  2 P 2.56, 4 Cl 2.74
Cl: 0.0000 0.5000 0.0000  2 Sn 2.74
Cl: 0.5000 0.0000 0.0000  2 Sn 2.74

Most stable to least stable, the ends of the list are x and w.

w.
Computed, not measured: an optimized crystal structure of NaSrP2Cl at the PBE level of DFT.

Crystal system: tetragonal
Symmetry: P4/mmm

Unit cell a=5.8643 b=5.8643 c=5.6043 alpha=90.00 beta=90.00 gamma=90.00
With the nearest neighbours (Å) after each atom.
Fractional positions:
Sr: 0.0000 0.0000 0.0000  2 Cl 2.80, 4 P 2.93
Na: 0.5000 0.5000 0.5000  8 P 4.06, 4 Cl 4.15
P: 0.0000 0.5000 0.0000  2 Sr 2.93
P: 0.5000 0.0000 0.0000  2 Sr 2.93
Cl: 0.0000 0.0000 0.5000  2 Sr 2.80

x.
Computed, not measured: an optimized crystal structure of NaSrP2Cl at the PBE level of DFT.

Crystal system: tetragonal
Symmetry: P4/mmm

Unit cell a=4.9312 b=4.9312 c=5.3638 alpha=90.00 beta=90.00 gamma=90.00
With the nearest neighbours (Å) after each atom.
Fractional positions:
Sr: 0.5000 0.5000 0.5000  4 Cl 3.49, 8 P 3.64
Na: 0.0000 0.0000 0.0000  4 P 2.47, 2 Cl 2.68
P: 0.0000 0.5000 0.0000  2 Na 2.47
P: 0.5000 0.0000 0.0000  2 Na 2.47
Cl: 0.0000 0.0000 0.5000  2 Na 2.68

Most stable to least stable, the ends of the list are x and w.